Record 1
Entry from Alexandria: crystalline Pr2AlSn3 at its relaxed geometry (PBE).

extended XYZ file:
```
6
Lattice="-0.934 -3.125 -2.674 1.447 -3.033 3.039 -8.103 -0.475 3.386" Properties=species:S:1:pos:R:3 pbc="T T T"
Pr 0.624 -1.523 1.561
Pr -3.959 -0.232 1.654
Al -2.465 -3.238 1.319
Sn -7.299 -1.963 1.518
Sn -1.921 -1.647 -0.730
Sn -4.936 -3.383 2.352
```

Computed properties:
The value obtained for the formation energy is -47 kJ/mol of atoms. For the total energy, the calculation gives -28.223 eV for the cell shown. The space group is No. 25. Its total moment is 0.000 μB/f.u. The calculation puts the density of states at the Fermi level at 2.155 states/eV/cell.

***

Record 2
Entry from Alexandria: crystalline Pr2Al3Sn at its relaxed geometry (PBE).

extended XYZ file:
```
12
Lattice="-3.323 -3.403 -4.027 3.844 2.038 -4.462 4.432 -5.398 5.510" Properties=species:S:1:pos:R:3 pbc="T T T"
Pr 4.268 -2.021 -1.598
Pr 0.390 -1.020 -6.350
Pr 0.685 -4.741 -1.381
Pr 0.131 -0.344 -2.139
Al 2.086 -6.488 1.171
Al -0.817 -3.071 -3.927
Al 2.867 -0.274 -4.150
Al 5.770 -3.691 0.947
Al 3.434 -4.793 -3.389
Al 1.520 -1.969 0.410
Sn 3.122 -4.045 0.842
Sn 1.831 -2.717 -3.821
```

Computed properties:
The value obtained for the formation energy is -51 kJ/mol of atoms. For the total energy, the calculation gives -55.959 eV for the cell shown. The space group is No. 69. Its total moment is 0.000 μB/f.u. The calculation puts the density of states at the Fermi level at 5.194 states/eV/cell.

***

Please write out number 1 again, unchanged.
Entry from Alexandria: crystalline Pr2AlSn3 at its relaxed geometry (PBE).

extended XYZ file:
```
6
Lattice="-0.934 -3.125 -2.674 1.447 -3.033 3.039 -8.103 -0.475 3.386" Properties=species:S:1:pos:R:3 pbc="T T T"
Pr 0.624 -1.523 1.561
Pr -3.959 -0.232 1.654
Al -2.465 -3.238 1.319
Sn -7.299 -1.963 1.518
Sn -1.921 -1.647 -0.730
Sn -4.936 -3.383 2.352
```

Computed properties:
The value obtained for the formation energy is -47 kJ/mol of atoms. For the total energy, the calculation gives -28.223 eV for the cell shown. The space group is No. 25. Its total moment is 0.000 μB/f.u. The calculation puts the density of states at the Fermi level at 2.155 states/eV/cell.

***

Copy entry 2 word for word.
Entry from Alexandria: crystalline Pr2Al3Sn at its relaxed geometry (PBE).

extended XYZ file:
```
12
Lattice="-3.323 -3.403 -4.027 3.844 2.038 -4.462 4.432 -5.398 5.510" Properties=species:S:1:pos:R:3 pbc="T T T"
Pr 4.268 -2.021 -1.598
Pr 0.390 -1.020 -6.350
Pr 0.685 -4.741 -1.381
Pr 0.131 -0.344 -2.139
Al 2.086 -6.488 1.171
Al -0.817 -3.071 -3.927
Al 2.867 -0.274 -4.150
Al 5.770 -3.691 0.947
Al 3.434 -4.793 -3.389
Al 1.520 -1.969 0.410
Sn 3.122 -4.045 0.842
Sn 1.831 -2.717 -3.821
```

Computed properties:
The value obtained for the formation energy is -51 kJ/mol of atoms. For the total energy, the calculation gives -55.959 eV for the cell shown. The space group is No. 69. Its total moment is 0.000 μB/f.u. The calculation puts the density of states at the Fermi level at 5.194 states/eV/cell.

***

Repeat the second record exactly.
Entry from Alexandria: crystalline Pr2Al3Sn at its relaxed geometry (PBE).

extended XYZ file:
```
12
Lattice="-3.323 -3.403 -4.027 3.844 2.038 -4.462 4.432 -5.398 5.510" Properties=species:S:1:pos:R:3 pbc="T T T"
Pr 4.268 -2.021 -1.598
Pr 0.390 -1.020 -6.350
Pr 0.685 -4.741 -1.381
Pr 0.131 -0.344 -2.139
Al 2.086 -6.488 1.171
Al -0.817 -3.071 -3.927
Al 2.867 -0.274 -4.150
Al 5.770 -3.691 0.947
Al 3.434 -4.793 -3.389
Al 1.520 -1.969 0.410
Sn 3.122 -4.045 0.842
Sn 1.831 -2.717 -3.821
```

Computed properties:
The value obtained for the formation energy is -51 kJ/mol of atoms. For the total energy, the calculation gives -55.959 eV for the cell shown. The space group is No. 69. Its total moment is 0.000 μB/f.u. The calculation puts the density of states at the Fermi level at 5.194 states/eV/cell.

***

Please write out number 2 again, unchanged.
Entry from Alexandria: crystalline Pr2Al3Sn at its relaxed geometry (PBE).

extended XYZ file:
```
12
Lattice="-3.323 -3.403 -4.027 3.844 2.038 -4.462 4.432 -5.398 5.510" Properties=species:S:1:pos:R:3 pbc="T T T"
Pr 4.268 -2.021 -1.598
Pr 0.390 -1.020 -6.350
Pr 0.685 -4.741 -1.381
Pr 0.131 -0.344 -2.139
Al 2.086 -6.488 1.171
Al -0.817 -3.071 -3.927
Al 2.867 -0.274 -4.150
Al 5.770 -3.691 0.947
Al 3.434 -4.793 -3.389
Al 1.520 -1.969 0.410
Sn 3.122 -4.045 0.842
Sn 1.831 -2.717 -3.821
```

Computed properties:
The value obtained for the formation energy is -51 kJ/mol of atoms. For the total energy, the calculation gives -55.959 eV for the cell shown. The space group is No. 69. Its total moment is 0.000 μB/f.u. The calculation puts the density of states at the Fermi level at 5.194 states/eV/cell.